Density functional theory data (GGA+U) for an optimized crystal structure of RbNa4Mn3F12.

a b c (Å): 7.221 7.221 7.221
angles (deg): 109.47 109.47 109.47
Element x y z (fractional)
Rb1 0.000 0.000 0.000
Na1 0.000 0.000 0.500
Na2 0.000 0.500 0.000
Na3 0.500 0.000 0.000
Na4 0.500 0.500 0.500
Mn1 0.000 0.500 0.500
Mn2 0.500 0.000 0.500
Mn3 0.500 0.500 0.000
F1 0.163 0.330 0.833
F2 0.167 0.498 0.330
F3 0.167 0.837 0.670
F4 0.330 0.167 0.498
F5 0.330 0.833 0.163
F6 0.498 0.330 0.167
F7 0.502 0.670 0.833
F8 0.670 0.167 0.837
F9 0.670 0.833 0.502
F10 0.833 0.163 0.330
F11 0.833 0.502 0.670
F12 0.837 0.670 0.167

Summary:
Total DFT energy (no corrections) ... -5.19 eV/atom
Magnetization ... 14.00 μB/f.u.